Record 1
# GGA-PBE Mn2SiAs, relaxed
# Calculated volume ... 12.4 A^3/atom
# Theoretical density ... 7124 kg/m3
# M_tot ... 2.23 μB per formula unit
# Raw total energy ... -7.22 eV/atom
data_Mn2SiAs
_symmetry_space_group_name_H-M 'P 1'
_symmetry_Int_Tables_number 1
_cell_length_a 4.4654
_cell_length_b 4.4654
_cell_length_c 4.1737
_cell_angle_alpha 103.86
_cell_angle_beta 103.86
_cell_angle_gamma 38.05
loop_
_symmetry_equiv_pos_as_xyz
'x,y,z'
loop_
_atom_site_label
_atom_site_fract_x
_atom_site_fract_y
_atom_site_fract_z
Mn1 0.0000 0.0000 0.0000
Mn2 0.2246 0.2246 0.6062
Si1 0.4916 0.4916 0.5026
As1 0.7363 0.7363 0.1202



Record 2
# GGA-PBE Nd3Y12Mg5, relaxed
# Calculated volume ... 40.0 A^3/atom
# Theoretical density ... 3366 kg/m3
# M_tot ... 0.05 μB per formula unit
# Raw total energy ... -4.23 eV/atom
data_Nd3Y12Mg5
_symmetry_space_group_name_H-M 'P 1'
_symmetry_Int_Tables_number 1
_cell_length_a 16.0765
_cell_length_b 16.0765
_cell_length_c 16.0765
_cell_angle_alpha 109.47
_cell_angle_beta 109.47
_cell_angle_gamma 109.47
loop_
_symmetry_equiv_pos_as_xyz
'x,y,z'
loop_
_atom_site_label
_atom_site_fract_x
_atom_site_fract_y
_atom_site_fract_z
Nd1 0.1250 0.2500 0.3750
Nd2 0.1250 0.3750 0.7500
Nd3 0.2500 0.3750 0.1250
Nd4 0.2500 0.8750 0.6250
Nd5 0.3750 0.1250 0.2500
Nd6 0.3750 0.7500 0.1250
Nd7 0.6250 0.2500 0.8750
Nd8 0.6250 0.8750 0.7500
Nd9 0.7500 0.1250 0.3750
Nd10 0.7500 0.6250 0.8750
Nd11 0.8750 0.6250 0.2500
Nd12 0.8750 0.7500 0.6250
Y1 0.0626 0.2225 0.1348
Y2 0.0626 0.3400 0.9277
Y3 0.0723 0.6348 0.4123
Y4 0.0723 0.9374 0.6600
Y5 0.0877 0.7225 0.6600
Y6 0.0877 0.8652 0.4277
Y7 0.1348 0.0626 0.2225
Y8 0.1348 0.5723 0.9123
Y9 0.1600 0.2225 0.5877
Y10 0.1600 0.4374 0.5723
Y11 0.2225 0.1348 0.0626
Y12 0.2225 0.5877 0.1600
Y13 0.2775 0.3400 0.9123
Y14 0.2775 0.4374 0.3652
Y15 0.3400 0.9123 0.2775
Y16 0.3400 0.9277 0.0626
Y17 0.3652 0.2775 0.4374
Y18 0.3652 0.5877 0.9277
Y19 0.4123 0.0723 0.6348
Y20 0.4123 0.8400 0.7775
Y21 0.4277 0.0877 0.8652
Y22 0.4277 0.8400 0.5626
Y23 0.4374 0.3652 0.2775
Y24 0.4374 0.5723 0.1600
Y25 0.5626 0.4277 0.8400
Y26 0.5626 0.6348 0.7225
Y27 0.5723 0.1600 0.4374
Y28 0.5723 0.9123 0.1348
Y29 0.5877 0.1600 0.2225
Y30 0.5877 0.9277 0.3652
Y31 0.6348 0.4123 0.0723
Y32 0.6348 0.7225 0.5626
Y33 0.6600 0.0723 0.9374
Y34 0.6600 0.0877 0.7225
Y35 0.7225 0.5626 0.6348
Y36 0.7225 0.6600 0.0877
Y37 0.7775 0.4123 0.8400
Y38 0.7775 0.8652 0.9374
Y39 0.8400 0.5626 0.4277
Y40 0.8400 0.7775 0.4123
Y41 0.8652 0.4277 0.0877
Y42 0.8652 0.9374 0.7775
Y43 0.9123 0.1348 0.5723
Y44 0.9123 0.2775 0.3400
Y45 0.9277 0.0626 0.3400
Y46 0.9277 0.3652 0.5877
Y47 0.9374 0.6600 0.0723
Y48 0.9374 0.7775 0.8652
Mg1 0.0000 0.0000 0.0000
Mg2 0.0000 0.0000 0.5000
Mg3 0.0000 0.5000 0.0000
Mg4 0.0000 0.5000 0.5000
Mg5 0.1250 0.7500 0.8750
Mg6 0.1250 0.8750 0.2500
Mg7 0.2500 0.1250 0.8750
Mg8 0.2500 0.6250 0.3750
Mg9 0.3750 0.2500 0.6250
Mg10 0.3750 0.6250 0.7500
Mg11 0.5000 0.0000 0.0000
Mg12 0.5000 0.0000 0.5000
Mg13 0.5000 0.5000 0.0000
Mg14 0.5000 0.5000 0.5000
Mg15 0.6250 0.3750 0.2500
Mg16 0.6250 0.7500 0.3750
Mg17 0.7500 0.3750 0.6250
Mg18 0.7500 0.8750 0.1250
Mg19 0.8750 0.1250 0.7500
Mg20 0.8750 0.2500 0.1250



Record 3
# GGA-PBE Tb3Nd2P4, relaxed
# Calculated volume ... 26.1 A^3/atom
# Theoretical density ... 6288 kg/m3
# M_tot ... 0.00 μB per formula unit
# Raw total energy ... -6.41 eV/atom
data_Tb3Nd2P4
_symmetry_space_group_name_H-M 'P 1'
_symmetry_Int_Tables_number 1
_cell_length_a 6.9904
_cell_length_b 6.9904
_cell_length_c 9.9222
_cell_angle_alpha 117.55
_cell_angle_beta 117.55
_cell_angle_gamma 33.58
loop_
_symmetry_equiv_pos_as_xyz
'x,y,z'
loop_
_atom_site_label
_atom_site_fract_x
_atom_site_fract_y
_atom_site_fract_z
Tb1 0.0000 0.0000 0.0000
Tb2 0.2051 0.2051 0.8115
Tb3 0.7949 0.7949 0.1885
Nd1 0.3987 0.3987 0.6053
Nd2 0.6013 0.6013 0.3947
P1 0.2016 0.2016 0.2978
P2 0.3985 0.3985 0.0986
P3 0.6015 0.6015 0.9014
P4 0.7984 0.7984 0.7022



Record 4
# GGA-PBE Pm2HfReN6, relaxed
# Calculated volume ... 13.1 A^3/atom
# Theoretical density ... 9399 kg/m3
# M_tot ... 0.63 μB per formula unit
# Raw total energy ... -9.05 eV/atom
data_Pm2HfReN6
_symmetry_space_group_name_H-M 'P 1'
_symmetry_Int_Tables_number 1
_cell_length_a 5.6258
_cell_length_b 5.7843
_cell_length_c 9.7605
_cell_angle_alpha 90.00
_cell_angle_beta 124.74
_cell_angle_gamma 90.00
loop_
_symmetry_equiv_pos_as_xyz
'x,y,z'
loop_
_atom_site_label
_atom_site_fract_x
_atom_site_fract_y
_atom_site_fract_z
Pm1 0.2392 0.0526 0.2505
Pm2 0.2392 0.4474 0.7505
Pm3 0.7608 0.5526 0.2495
Pm4 0.7608 0.9474 0.7495
Hf1 0.5000 0.0000 0.0000
Hf2 0.5000 0.5000 0.5000
Re1 0.0000 0.0000 0.5000
Re2 0.0000 0.5000 0.0000
N1 0.1497 0.2170 0.9522
N2 0.1497 0.2830 0.4522
N3 0.2378 0.6985 0.9558
N4 0.2378 0.8015 0.4558
N5 0.3258 0.0219 0.7393
N6 0.3258 0.4781 0.2393
N7 0.6742 0.5219 0.7607
N8 0.6742 0.9781 0.2607
N9 0.7622 0.1985 0.5442
N10 0.7622 0.3015 0.0442
N11 0.8503 0.7170 0.5478
N12 0.8503 0.7830 0.0478



Record 5
# GGA-PBE NpSbPt, relaxed
# Calculated volume ... 23.4 A^3/atom
# Theoretical density ... 13123 kg/m3
# M_tot ... 3.88 μB per formula unit
# Raw total energy ... -8.17 eV/atom
data_NpSbPt
_symmetry_space_group_name_H-M 'P 1'
_symmetry_Int_Tables_number 1
_cell_length_a 4.5057
_cell_length_b 4.5057
_cell_length_c 3.9862
_cell_angle_alpha 90.00
_cell_angle_beta 90.00
_cell_angle_gamma 120.00
loop_
_symmetry_equiv_pos_as_xyz
'x,y,z'
loop_
_atom_site_label
_atom_site_fract_x
_atom_site_fract_y
_atom_site_fract_z
Np1 0.0000 0.0000 0.0000
Sb1 0.3333 0.6667 0.5293
Pt1 0.6667 0.3333 0.3899



Record 6
# GGA-PBE La3Tc, relaxed
# Calculated volume ... 30.9 A^3/atom
# Theoretical density ... 6924 kg/m3
# M_tot ... 0.00 μB per formula unit
# Raw total energy ... -6.33 eV/atom
data_La3Tc
_symmetry_space_group_name_H-M 'P 1'
_symmetry_Int_Tables_number 1
_cell_length_a 7.3862
_cell_length_b 9.9846
_cell_length_c 6.6953
_cell_angle_alpha 90.00
_cell_angle_beta 90.00
_cell_angle_gamma 90.00
loop_
_symmetry_equiv_pos_as_xyz
'x,y,z'
loop_
_atom_site_label
_atom_site_fract_x
_atom_site_fract_y
_atom_site_fract_z
La1 0.0647 0.2500 0.1342
La2 0.1697 0.0673 0.6681
La3 0.1697 0.4327 0.6681
La4 0.3303 0.5673 0.1681
La5 0.3303 0.9327 0.1681
La6 0.4353 0.7500 0.6342
La7 0.5647 0.2500 0.3658
La8 0.6697 0.0673 0.8319
La9 0.6697 0.4327 0.8319
La10 0.8303 0.5673 0.3319
La11 0.8303 0.9327 0.3319
La12 0.9353 0.7500 0.8658
Tc1 0.1160 0.7500 0.4621
Tc2 0.3840 0.2500 0.9621
Tc3 0.6160 0.7500 0.0379
Tc4 0.8840 0.2500 0.5379



Record 7
# GGA-PBE NbReS3, relaxed
# Calculated volume ... 19.1 A^3/atom
# Theoretical density ... 6518 kg/m3
# ΔE to the lowest computed polymorph ... 0.0000 eV per atom
# M_tot ... 0.00 μB per formula unit
# Raw total energy ... -7.46 eV/atom
data_NbReS3
_symmetry_space_group_name_H-M 'P 1'
_symmetry_Int_Tables_number 1
_cell_length_a 6.9552
_cell_length_b 3.2067
_cell_length_c 9.1569
_cell_angle_alpha 90.00
_cell_angle_beta 110.55
_cell_angle_gamma 90.00
loop_
_symmetry_equiv_pos_as_xyz
'x,y,z'
loop_
_atom_site_label
_atom_site_fract_x
_atom_site_fract_y
_atom_site_fract_z
Nb1 0.2455 0.2500 0.0196
Nb2 0.7545 0.7500 0.9804
Re1 0.1155 0.2500 0.6917
Re2 0.8845 0.7500 0.3083
S1 0.1211 0.7500 0.1754
S2 0.2041 0.7500 0.5335
S3 0.4646 0.2500 0.8514
S4 0.5354 0.7500 0.1486
S5 0.7959 0.2500 0.4665
S6 0.8789 0.2500 0.8246



Record 8
# GGA-PBE HfAlCu3, relaxed
# Calculated volume ... 14.8 A^3/atom
# Theoretical density ... 8864 kg/m3
# ΔE to the lowest computed polymorph ... 0.0000 eV per atom
# M_tot ... 0.00 μB per formula unit
# Raw total energy ... -5.34 eV/atom
data_HfAlCu3
_symmetry_space_group_name_H-M 'P 1'
_symmetry_Int_Tables_number 1
_cell_length_a 6.1383
_cell_length_b 6.1383
_cell_length_c 6.1383
_cell_angle_alpha 133.08
_cell_angle_beta 113.62
_cell_angle_gamma 85.20
loop_
_symmetry_equiv_pos_as_xyz
'x,y,z'
loop_
_atom_site_label
_atom_site_fract_x
_atom_site_fract_y
_atom_site_fract_z
Hf1 0.2635 0.0135 0.2500
Hf2 0.7365 0.9865 0.7500
Al1 0.0000 0.5000 0.5000
Al2 0.5000 0.5000 0.0000
Cu1 0.1825 0.0000 0.6825
Cu2 0.1825 0.5000 0.1825
Cu3 0.4393 0.6893 0.7500
Cu4 0.5607 0.3107 0.2500
Cu5 0.8175 0.0000 0.3175
Cu6 0.8175 0.5000 0.8175



Record 9
# GGA-PBE K2HgAsF6, relaxed
# Calculated volume ... 21.4 A^3/atom
# Theoretical density ... 3622 kg/m3
# ΔE to the lowest computed polymorph ... 0.0000 eV per atom
# M_tot ... 1.02 μB per formula unit
# Raw total energy ... -4.00 eV/atom
data_K2HgAsF6
_symmetry_space_group_name_H-M 'P 1'
_symmetry_Int_Tables_number 1
_cell_length_a 6.2777
_cell_length_b 6.5998
_cell_length_c 6.6783
_cell_angle_alpha 91.74
_cell_angle_beta 116.05
_cell_angle_gamma 116.13
loop_
_symmetry_equiv_pos_as_xyz
'x,y,z'
loop_
_atom_site_label
_atom_site_fract_x
_atom_site_fract_y
_atom_site_fract_z
K1 0.0013 0.2718 0.2309
K2 0.9987 0.7282 0.7691
Hg1 0.5000 0.0000 0.5000
As1 0.5000 0.5000 0.0000
F1 0.2430 0.4690 0.6876
F2 0.2497 0.1858 0.9799
F3 0.3274 0.6149 0.1122
F4 0.6726 0.3851 0.8878
F5 0.7503 0.8142 0.0201
F6 0.7570 0.5310 0.3124



Record 10
# GGA-PBE LaCd2Sb, relaxed
# Calculated volume ... 27.7 A^3/atom
# Theoretical density ... 7268 kg/m3
# M_tot ... 0.00 μB per formula unit
# Raw total energy ... -3.10 eV/atom
data_LaCd2Sb
_symmetry_space_group_name_H-M 'P 1'
_symmetry_Int_Tables_number 1
_cell_length_a 3.4537
_cell_length_b 4.4653
_cell_length_c 7.2447
_cell_angle_alpha 90.00
_cell_angle_beta 96.91
_cell_angle_gamma 90.00
loop_
_symmetry_equiv_pos_as_xyz
'x,y,z'
loop_
_atom_site_label
_atom_site_fract_x
_atom_site_fract_y
_atom_site_fract_z
La1 0.0000 0.0000 0.0000
Cd1 0.3862 0.5000 0.7061
Cd2 0.8059 0.0000 0.5231
Sb1 0.5539 0.5000 0.2451



Record 11
# GGA-PBE Ni2SbRh2, relaxed
# Calculated volume ... 14.6 A^3/atom
# Theoretical density ... 10113 kg/m3
# ΔE to the lowest computed polymorph ... 0.0000 eV per atom
# M_tot ... 0.00 μB per formula unit
# Raw total energy ... -6.01 eV/atom
data_Ni2SbRh2
_symmetry_space_group_name_H-M 'P 1'
_symmetry_Int_Tables_number 1
_cell_length_a 6.3513
_cell_length_b 6.3513
_cell_length_c 3.6222
_cell_angle_alpha 90.00
_cell_angle_beta 90.00
_cell_angle_gamma 90.00
loop_
_symmetry_equiv_pos_as_xyz
'x,y,z'
loop_
_atom_site_label
_atom_site_fract_x
_atom_site_fract_y
_atom_site_fract_z
Ni1 0.1316 0.3684 0.0000
Ni2 0.3684 0.8684 0.0000
Ni3 0.6316 0.1316 0.0000
Ni4 0.8684 0.6316 0.0000
Sb1 0.0000 0.0000 0.0000
Sb2 0.5000 0.5000 0.0000
Rh1 0.1564 0.6564 0.5000
Rh2 0.3436 0.1564 0.5000
Rh3 0.6564 0.8436 0.5000
Rh4 0.8436 0.3436 0.5000



Record 12
# GGA-PBE PmPr4Sm2, relaxed
# Calculated volume ... 37.4 A^3/atom
# Theoretical density ... 6402 kg/m3
# ΔE to the lowest computed polymorph ... 0.0297 eV per atom
# M_tot ... 0.00 μB per formula unit
# Raw total energy ... -4.48 eV/atom
data_PmPr4Sm2
_symmetry_space_group_name_H-M 'P 1'
_symmetry_Int_Tables_number 1
_cell_length_a 7.9829
_cell_length_b 7.9829
_cell_length_c 8.2166
_cell_angle_alpha 90.21
_cell_angle_beta 90.21
_cell_angle_gamma 89.99
loop_
_symmetry_equiv_pos_as_xyz
'x,y,z'
loop_
_atom_site_label
_atom_site_fract_x
_atom_site_fract_y
_atom_site_fract_z
Pm1 0.0000 0.0000 0.0000
Pm2 0.0000 0.0000 0.5000
Pr1 0.2484 0.7475 0.7179
Pr2 0.2501 0.2501 0.7182
Pr3 0.2507 0.2507 0.2823
Pr4 0.2525 0.7516 0.2821
Pr5 0.7475 0.2484 0.7179
Pr6 0.7493 0.7493 0.7177
Pr7 0.7499 0.7499 0.2818
Pr8 0.7516 0.2525 0.2821
Sm1 0.0000 0.5000 0.0000
Sm2 0.5000 0.0000 0.0000
Sm3 0.5000 0.5000 0.0000
Sm4 0.5000 0.5000 0.5000